No. 1
Entry from Alexandria: Sm3TmS4 after structural relaxation (GGA-PBE).

Output
The space-group type is Pm-3m. Its excess energy over the best structure of this formula in the dataset is 0.66 kcal/mol of atoms.

Unit cell a=5.617 b=5.617 c=5.617 alpha=90.00 beta=90.00 gamma=90.00
Fractional coordinates of all 8 atoms:
1 Sm 0.000 0.000 0.500
2 Sm 0.000 0.500 0.000
3 Sm 0.500 0.000 0.000
4 Tm 0.500 0.500 0.500
5 S 0.000 0.000 0.000
6 S 0.000 0.500 0.500
7 S 0.500 0.000 0.500
8 S 0.500 0.500 0.000

No. 2
Entry from Alexandria: SmTmS3 after structural relaxation (GGA-PBE).

Output
The space-group type is Pnma. Its excess energy over the best structure of this formula in the dataset is 0.00 kcal/mol of atoms.

Unit cell a=7.331 b=3.931 c=15.230 alpha=90.00 beta=90.00 gamma=90.00
Fractional coordinates of all 20 atoms:
1 Sm 0.143 0.250 0.201
2 Sm 0.357 0.750 0.701
3 Sm 0.643 0.250 0.299
4 Sm 0.857 0.750 0.799
5 Tm 0.230 0.750 0.457
6 Tm 0.270 0.250 0.957
7 Tm 0.730 0.750 0.043
8 Tm 0.770 0.250 0.543
9 S 0.012 0.250 0.395
10 S 0.124 0.750 0.062
11 S 0.150 0.250 0.785
12 S 0.350 0.750 0.285
13 S 0.376 0.250 0.562
14 S 0.488 0.750 0.895
15 S 0.512 0.250 0.105
16 S 0.624 0.750 0.438
17 S 0.650 0.250 0.715
18 S 0.850 0.750 0.215
19 S 0.876 0.250 0.938
20 S 0.988 0.750 0.605

No. 3
Entry from Alexandria: Sm5Tm3S8 after structural relaxation (GGA-PBE).

Output
The space-group type is R-3m.

Unit cell a=7.931 b=7.931 c=7.931 alpha=59.45 beta=59.45 gamma=59.45
Fractional coordinates of all 16 atoms:
1 Sm 0.000 0.000 0.000
2 Sm 0.000 0.500 0.500
3 Sm 0.500 0.000 0.500
4 Sm 0.500 0.500 0.000
5 Sm 0.500 0.500 0.500
6 Tm 0.000 0.000 0.500
7 Tm 0.000 0.500 0.000
8 Tm 0.500 0.000 0.000
9 S 0.238 0.750 0.750
10 S 0.244 0.244 0.244
11 S 0.250 0.250 0.762
12 S 0.250 0.762 0.250
13 S 0.750 0.238 0.750
14 S 0.750 0.750 0.238
15 S 0.756 0.756 0.756
16 S 0.762 0.250 0.250

No. 4
Entry from Alexandria: SmTm2S after structural relaxation (GGA-PBE).

Output
The space-group type is R-3m.

Unit cell a=10.282 b=10.282 c=10.282 alpha=20.17 beta=20.17 gamma=20.17
Fractional coordinates of all 4 atoms:
1 Sm 0.000 0.000 0.000
2 Tm 0.112 0.112 0.112
3 Tm 0.888 0.888 0.888
4 S 0.500 0.500 0.500

Calculated electronic total energy in order - -6.3650; -6.3876; -6.3630; -5.1692 eV per atom
Calculated energy relative to the elements, uncorrected in order - -1.973; -2.073; -1.986; -0.722 eV per atom